Here is an optimized crystal structure of MgCdSe from Alexandria. Energies are from PBE-GGA.

Geometry as CIF:
```
data_MgCdSe
_cell_length_a 5.236
_cell_length_b 5.245
_cell_length_c 12.616
_cell_angle_alpha 90.00
_cell_angle_beta 90.00
_cell_angle_gamma 90.00
_symmetry_space_group_name_H-M 'F m m 2'
_symmetry_Int_Tables_number 42
_symmetry_space_group_name_Hall 'F 2 -2'
loop_
_atom_site_label
_atom_site_type_symbol
_atom_site_fract_x
_atom_site_fract_y
_atom_site_fract_z
_atom_site_occupancy
Mg1 Mg 0.000 0.000 0.000 1
Cd1 Cd 0.000 0.000 0.774 1
Se1 Se 0.000 0.000 0.552 1
```

Output
As for the raw total energy: -2.5223 eV/atom. The energy relative to the lowest polymorph listed for this composition comes out at 0.094 eV per atom. The value obtained for the formation energy without anion corrections is -1.57 eV per formula unit.

Here is an optimized crystal structure of MgCdSe2 from Alexandria. Energies are from PBE-GGA.

Geometry as CIF:
```
data_MgCdSe2
_cell_length_a 3.990
_cell_length_b 3.990
_cell_length_c 5.641
_cell_angle_alpha 90.00
_cell_angle_beta 90.00
_cell_angle_gamma 90.00
_symmetry_space_group_name_H-M 'P 4/m m m'
_symmetry_Int_Tables_number 123
_symmetry_space_group_name_Hall '-P 4 2'
loop_
_atom_site_label
_atom_site_type_symbol
_atom_site_fract_x
_atom_site_fract_y
_atom_site_fract_z
_atom_site_occupancy
Mg1 Mg 0.000 0.000 0.000 1
Cd1 Cd 0.500 0.500 0.500 1
Se1 Se 0.000 0.000 0.500 1
Se2 Se 0.500 0.500 0.000 1
```

Output
As for the raw total energy: -3.2118 eV/atom. The value obtained for the formation energy without anion corrections is -3.37 eV per formula unit.

Here is an optimized crystal structure of MgCdSe2 from Alexandria. Energies are from PBE-GGA.

Geometry as CIF:
```
data_MgCdSe2
_cell_length_a 13.558
_cell_length_b 3.654
_cell_length_c 3.853
_cell_angle_alpha 90.00
_cell_angle_beta 90.03
_cell_angle_gamma 90.00
_symmetry_space_group_name_H-M 'C 1 m 1'
_symmetry_Int_Tables_number 8
loop_
_symmetry_equiv_pos_as_xyz
'x,y,z'
'x,-y,z'
'x+1/2,y+1/2,z'
'x+1/2,-y+1/2,z'
loop_
_atom_site_label
_atom_site_type_symbol
_atom_site_fract_x
_atom_site_fract_y
_atom_site_fract_z
_atom_site_occupancy
Mg1 Mg 0.000 0.000 0.000 1
Cd1 Cd 0.257 0.500 0.499 1
Se1 Se 0.063 0.500 0.500 1
Se2 Se 0.333 0.000 0.999 1
```

Output
As for the raw total energy: -3.1103 eV/atom. The value obtained for the formation energy without anion corrections is -2.96 eV per formula unit.